The following is a DFT calculation (PBE) of crystalline DyScNi at its relaxed geometry.

## Properties
**Crystal system**: cubic
**Raw total energy**: -14.7 eV for the cell shown

Cell: 4.543 4.543 4.543 Å, 60.00 60.00 60.00°
Fractional positions:
Ni 0.250 0.250 0.250
Dy 0.000 0.000 0.000
Sc 0.750 0.750 0.750

=====

The following is a DFT calculation (PBE) of crystalline DyScSi4Ni2 at its relaxed geometry.

## Properties
**Crystal system**: orthorhombic
**Raw total energy**: -50.0 eV for the cell shown

Cell: 3.905 8.429 8.429 Å, 26.68 90.00 90.00°
Fractional positions:
Si 0.000 0.042 0.042
Si 0.500 0.248 0.248
Si 0.500 0.962 0.962
Si 0.000 0.749 0.749
Dy 0.000 0.396 0.396
Ni 0.000 0.175 0.175
Ni 0.500 0.824 0.824
Sc 0.500 0.605 0.605